1.
The following is a DFT calculation (PBE-GGA) of an optimized crystal structure of Mg7Sn4Pb.

Calculated values
For the total moment, the calculation gives 0.00 μB per formula unit. Its formation energy is -0.01 eV per atom.

a b c (Å): 12.734 5.561 10.653
angles (deg): 90.00 124.09 90.00
Space group C2/m (No. 12)
Symmetry-distinct sites (fractional):
Mg: 0.000 0.000 0.000 (multiplicity 2)
Mg: 0.077 0.500 0.427 (multiplicity 4)
Mg: 0.183 0.000 0.896 (multiplicity 4)
Mg: 0.234 0.000 0.656 (multiplicity 4)
Sn: 0.106 0.000 0.322 (multiplicity 4)
Sn: 0.202 0.500 0.770 (multiplicity 4)
Pb: 0.000 0.500 0.000 (multiplicity 2)

=====

2.
The following is a DFT calculation (PBE-GGA) of an optimized crystal structure of Mg2SnPb6.

Calculated values
For the total moment, the calculation gives 0.00 μB per formula unit. The calculation puts the polymorph energy (0 for the lowest one) at 0.00 eV per formula unit. Its formation energy is 0.00 eV per atom.

a b c (Å): 11.286 4.734 10.432
angles (deg): 90.00 110.19 90.00
Space group C2/m (No. 12)
Symmetry-distinct sites (fractional):
Mg: 0.160 0.000 0.215 (multiplicity 4)
Sn: 0.000 0.500 0.000 (multiplicity 2)
Pb: 0.001 0.500 0.329 (multiplicity 4)
Pb: 0.167 0.000 0.892 (multiplicity 4)
Pb: 0.174 0.000 0.562 (multiplicity 4)

=====

3.
The following is a DFT calculation (PBE-GGA) of an optimized crystal structure of Mg7SnPb4.

Calculated values
For the total moment, the calculation gives 0.00 μB per formula unit. Its formation energy is 0.05 eV per atom.

a b c (Å): 12.344 5.603 11.034
angles (deg): 90.00 121.77 90.00
Space group C2/m (No. 12)
Symmetry-distinct sites (fractional):
Mg: 0.000 0.000 0.000 (multiplicity 2)
Mg: 0.070 0.500 0.337 (multiplicity 4)
Mg: 0.145 0.000 0.534 (multiplicity 4)
Mg: 0.200 0.500 0.922 (multiplicity 4)
Sn: 0.000 0.500 0.000 (multiplicity 2)
Pb: 0.084 0.000 0.766 (multiplicity 4)
Pb: 0.234 0.000 0.312 (multiplicity 4)